VASP calculation (GGA-PBE) on a relaxed RbScCo2Cl8 crystal.

- V: 359.6 Å³/f.u.
- Electronic total energy: -51.8 eV per cell

a b c (Å): 6.349 6.349 9.643
angles (deg): 85.42 85.42 68.36
Each line ends with the local moment (μB).
Element x y z (fractional)
Rb (0.000, 0.000, 0.500)  0.00
Sc (0.000, 0.000, 0.000)  0.04
Co (0.621, 0.621, 0.203)  2.43
Co (0.379, 0.379, 0.797)  2.43
Cl (0.766, 0.256, 0.810)  0.07
Cl (0.763, 0.763, 0.010)  0.07
Cl (0.691, 0.691, 0.410)  0.13
Cl (0.309, 0.309, 0.590)  0.13
Cl (0.237, 0.237, 0.990)  0.07
Cl (0.256, 0.766, 0.810)  0.07
Cl (0.744, 0.234, 0.190)  0.07
Cl (0.234, 0.744, 0.190)  0.07